# YAlCd

A geometry-optimized YAlCd structure (PBE, Alexandria).

Summary:
Magnetization (μB per formula unit): 0.0
E_form (eV per atom): -0.298
E_tot (eV/atom): -4.01
Crystal system: monoclinic

Cell: 12.146 4.307 5.558 Å, 90.00 101.26 90.00°
Space group C2/m (No. 12)
Inequivalent atoms, fractional coordinates:
Y (0.119, 0.000, 0.312)
Al (0.226, 0.000, 0.843)
Cd (0.077, 0.500, 0.781)